1.
The following is a PBE-GGA calculation of a geometry-optimized KTaRu2 structure, from the Alexandria database.

Geometry as POSCAR:
```
KTaRu2
1.0
-0.6667 -1.7873 -2.4826
-0.4527 -3.7648 2.8320
-4.6019 0.9620 0.5433
K Ru Ta
1 2 1
Direct
0.5000 0.0000 0.5000 K
0.0000 0.0000 0.0000 Ru
0.0000 0.5000 0.5000 Ru
0.5000 0.5000 0.0000 Ta
```

Output
The energy relative to the elements comes out at 1034 meV per atom. As for the energy above the lowest structure with this stoichiometry: 65.24 kJ/mol of atoms. The value obtained for the uncorrected energy is -6.842 eV/atom.


2.
The following is a PBE-GGA calculation of a geometry-optimized EuYMgPb structure, from the Alexandria database.

Geometry as POSCAR:
```
EuYMgPb
1.0
-3.7956 -3.8631 0.9007
-1.5765 -3.3058 -4.0899
1.4339 -5.2993 0.0459
Pb Eu Mg Y
1 1 1 1
Direct
0.5000 0.5000 0.5000 Pb
0.2500 0.2500 0.2500 Eu
0.0000 0.0000 0.0000 Mg
0.7500 0.7500 0.7500 Y
```

Output
The energy relative to the elements comes out at -316 meV per atom. The value obtained for the uncorrected energy is -5.827 eV/atom.


3.
The following is a PBE-GGA calculation of a geometry-optimized MgH3Rh structure, from the Alexandria database.

Geometry as POSCAR:
```
MgH3Rh
1.0
-3.2927 0.1409 -0.5885
1.7613 -2.6758 -0.9726
-1.4636 -3.6245 7.3211
H Mg Rh
6 2 2
Direct
0.0000 0.0000 0.2500 H
0.0000 0.0000 0.7500 H
0.3333 0.6667 0.0588 H
0.3333 0.6667 0.4412 H
0.6667 0.3333 0.5588 H
0.6667 0.3333 0.9412 H
0.3333 0.6667 0.7500 Mg
0.6667 0.3333 0.2500 Mg
0.0000 0.0000 0.0000 Rh
0.0000 0.0000 0.5000 Rh
```

Output
The value obtained for the uncorrected energy is -3.866 eV/atom.


4.
The following is a PBE-GGA calculation of a geometry-optimized InH2RuS structure, from the Alexandria database.

Geometry as POSCAR:
```
InH2RuS
1.0
-2.2004 1.0286 -2.6778
-5.1093 -2.7125 3.1566
-0.6095 3.1302 1.7033
Ru S H In
1 1 2 1
Direct
0.5000 0.5000 0.5000 Ru
0.0000 0.0000 0.0000 S
0.0000 0.0000 0.5000 H
0.5000 0.0000 0.0000 H
0.0000 0.5000 0.0000 In
```

Output
The value obtained for the uncorrected energy is -3.791 eV/atom.


5.
The following is a PBE-GGA calculation of a geometry-optimized Sr2InGa2Rh5 structure, from the Alexandria database.

Geometry as POSCAR:
```
Sr2InGa2Rh5
1.0
3.3775 0.0000 0.0000
0.0000 10.4689 0.0000
0.0000 0.0000 10.4689
Sr In Ga Rh
4 2 4 10
Direct
0.0000 0.6752 0.1752 Sr
0.0000 0.3248 0.8248 Sr
0.0000 0.1752 0.3248 Sr
0.0000 0.8248 0.6752 Sr
0.0000 0.0000 0.0000 In
0.0000 0.5000 0.5000 In
0.0000 0.1248 0.6248 Ga
0.0000 0.8752 0.3752 Ga
0.0000 0.6248 0.8752 Ga
0.0000 0.3752 0.1248 Ga
0.5000 0.2075 0.0631 Rh
0.5000 0.7925 0.9369 Rh
0.5000 0.0631 0.7925 Rh
0.5000 0.7075 0.4369 Rh
0.5000 0.9369 0.2075 Rh
0.5000 0.2925 0.5631 Rh
0.5000 0.5631 0.7075 Rh
0.5000 0.4369 0.2925 Rh
0.5000 0.5000 0.0000 Rh
0.5000 0.0000 0.5000 Rh
```

Output
The energy relative to the elements comes out at -476 meV per atom. The value obtained for the uncorrected energy is -5.368 eV/atom.


6.
The following is a PBE-GGA calculation of a geometry-optimized Tl4OsPt structure, from the Alexandria database.

Geometry as POSCAR:
```
Tl4OsPt
1.0
0.0000 4.2524 4.2524
4.2524 0.0000 4.2524
4.2524 4.2524 0.0000
Tl Os Pt
4 1 1
Direct
0.8752 0.3749 0.3749 Tl
0.3749 0.3749 0.8752 Tl
0.3749 0.8752 0.3749 Tl
0.3749 0.3749 0.3749 Tl
0.7500 0.7500 0.7500 Os
0.0000 0.0000 0.0000 Pt
```

Output
The energy relative to the elements comes out at 1332 meV per atom. The value obtained for the uncorrected energy is -3.124 eV/atom.


7.
The following is a PBE-GGA calculation of a geometry-optimized TmTi2Zn9 structure, from the Alexandria database.

Geometry as POSCAR:
```
TmTi2Zn9
1.0
-3.7455 1.0264 3.4108
0.1382 -2.1278 4.7084
3.1244 6.1130 5.5078
Tm Ti Zn
1 2 9
Direct
0.0000 0.0000 0.0000 Tm
0.8533 0.8533 0.4402 Ti
0.1467 0.1467 0.5598 Ti
0.6649 0.6649 0.0054 Zn
0.3351 0.3351 0.9946 Zn
0.5000 0.5000 0.5000 Zn
0.4096 0.4096 0.2595 Zn
0.9212 0.4096 0.2595 Zn
0.4096 0.9212 0.2595 Zn
0.5904 0.5904 0.7405 Zn
0.5904 0.0788 0.7405 Zn
0.0788 0.5904 0.7405 Zn
```

Output
The energy relative to the elements comes out at -216 meV per atom. The value obtained for the uncorrected energy is -2.860 eV/atom.


8.
The following is a PBE-GGA calculation of a geometry-optimized Ac3I2N2 structure, from the Alexandria database.

Geometry as POSCAR:
```
Ac3I2N2
1.0
-1.2950 -3.5780 0.7742
3.3284 -0.3920 -5.9365
6.5567 -1.1573 5.5917
Ac I N
3 2 2
Direct
0.0000 0.0000 0.0000 Ac
0.7777 0.5559 0.1890 Ac
0.2223 0.4441 0.8110 Ac
0.8836 0.7691 0.6209 I
0.1164 0.2309 0.3791 I
0.6390 0.2782 0.9547 N
0.3610 0.7218 0.0453 N
```

Output
As for the energy above the lowest structure with this stoichiometry: 12.74 kJ/mol of atoms. The value obtained for the uncorrected energy is -5.804 eV/atom.


> Which formula does entry 2 have?

EuYMgPb


> Among the records above, which one has the lowest uncorrected energy?

KTaRu2


> The lowest uncorrected energy belongs to which entry?

KTaRu2


> The lowest uncorrected energy belongs to which entry?

KTaRu2